Record 1
# Pr6IrPt2

Crystalline Pr6IrPt2 at its relaxed geometry (PBE-GGA, Alexandria via LeMat-Bulk).

Structure (CIF):
```
data_Pr6IrPt2
_chemical_formula_sum 'Pr12 Ir2 Pt4'
_symmetry_space_group_name_H-M 'P 1 21/c 1'
_symmetry_Int_Tables_number 14
_symmetry_space_group_name_Hall '-P 2ybc'
_cell_length_a 6.9263
_cell_length_b 7.5281
_cell_length_c 12.2120
_cell_angle_alpha 90.00
_cell_angle_beta 119.92
_cell_angle_gamma 90.00
loop_
_atom_site_label
_atom_site_fract_x
_atom_site_fract_y
_atom_site_fract_z
Pr1 0.0895 0.0485 0.2522
Pr2 0.2540 0.6769 0.0789
Pr3 0.3966 0.1838 0.0685
Ir1 0.0000 0.0000 0.0000
Pt1 0.3278 0.1137 0.7731
```

Properties
The calculation puts the formation energy from the elements at -670 meV per atom. The total magnetization comes out at 0.0 Bohr magnetons per cell. Its volume is 30.660 A^3/atom.

---

Record 2
# LiTb2Th3Te6

Crystalline LiTb2Th3Te6 at its relaxed geometry (PBE-GGA, Alexandria via LeMat-Bulk).

Structure (CIF):
```
data_LiTb2Th3Te6
_chemical_formula_sum 'Li2 Tb4 Th6 Te12'
_symmetry_space_group_name_H-M 'C 1 2/m 1'
_symmetry_Int_Tables_number 12
_symmetry_space_group_name_Hall '-C 2y'
_cell_length_a 19.6613
_cell_length_b 4.2199
_cell_length_c 9.1869
_cell_angle_alpha 90.00
_cell_angle_beta 109.51
_cell_angle_gamma 90.00
loop_
_atom_site_label
_atom_site_fract_x
_atom_site_fract_y
_atom_site_fract_z
Li1 0.0000 0.0000 0.0000
Tb1 0.1673 0.5000 0.3355
Th1 0.0000 0.0000 0.5000
Th2 0.1725 0.5000 0.8420
Te1 0.0003 0.5000 0.2344
Te2 0.1546 0.0000 0.0862
Te3 0.1691 0.0000 0.5793
```

Properties
The total magnetization comes out at 0.0 Bohr magnetons per cell. For the uncorrected formation energy, the calculation gives -1.149 eV/atom. Its volume is 29.937 A^3/atom.

---

Record 3
# Sc3Co

Crystalline Sc3Co at its relaxed geometry (PBE-GGA, Alexandria via LeMat-Bulk).

Structure (CIF):
```
data_Sc3Co
_chemical_formula_sum 'Sc6 Co2'
_symmetry_space_group_name_H-M 'P 63/m m c'
_symmetry_Int_Tables_number 194
_symmetry_space_group_name_Hall '-P 6c 2c'
_cell_length_a 6.4196
_cell_length_b 6.4196
_cell_length_c 4.3307
_cell_angle_alpha 90.00
_cell_angle_beta 90.00
_cell_angle_gamma 120.00
loop_
_atom_site_label
_atom_site_fract_x
_atom_site_fract_y
_atom_site_fract_z
Sc1 0.1818 0.3637 0.2500
Co1 0.3333 0.6667 0.7500
```

Properties
The calculation puts the formation energy from the elements at -10 meV per atom. The total magnetization comes out at 0.0 Bohr magnetons per cell. Its volume is 19.320 A^3/atom.